Record 1
Material: Er5Te5Ir
Method: DFT, GGA-PBE
State: optimized geometry

Results
* formation energy (no corrections): -1.213 eV per atom

Lattice parameters (Å, degrees): 6.079 7.497 8.505 107.31 90.00 113.92
Sites, in units of the cell vectors:
Er 0.147 0.295 0.850
Te 0.333 0.666 0.174
Er 0.148 0.296 0.306
Te 0.000 0.000 0.500
Ir 0.000 0.000 0.000
Er 0.500 0.000 0.000
Er 0.853 0.705 0.150
Er 0.852 0.704 0.694
Te 0.667 0.334 0.826
Te 0.683 0.366 0.333
Te 0.317 0.634 0.667

---

Record 2
Material: ErThTeIr
Method: DFT, GGA-PBE
State: optimized geometry

Results
* formation energy (no corrections): -1.118 eV per atom

Lattice parameters (Å, degrees): 4.190 4.191 7.793 90.00 105.60 120.00
Sites, in units of the cell vectors:
Er 0.501 0.148 0.664
Ir 0.300 0.548 0.864
Th 0.101 0.948 0.064
Te 0.976 0.386 0.377

---

Record 3
Material: Er6TlTe3Ir2
Method: DFT, GGA-PBE
State: optimized geometry

Results
* formation energy (no corrections): -0.947 eV per atom

Lattice parameters (Å, degrees): 4.102 8.860 9.765 109.12 102.12 90.00
Sites, in units of the cell vectors:
Te 0.500 0.500 0.000
Er 0.683 0.550 0.366
Er 0.671 0.111 0.343
Tl 0.500 0.000 0.000
Te 0.837 0.174 0.675
Er 0.329 0.889 0.657
Er 0.010 0.260 0.019
Ir 0.162 0.318 0.324
Er 0.317 0.450 0.634
Te 0.163 0.826 0.325
Er 0.990 0.740 0.981
Ir 0.838 0.682 0.676

---

Record 4
Material: ErThIr
Method: DFT, GGA-PBE
State: optimized geometry

Results
* offset from the most stable computed form: 117 meV per atom

Lattice parameters (Å, degrees): 3.581 3.581 6.434 106.16 106.16 90.00
Sites, in units of the cell vectors:
Ir 0.671 0.671 0.342
Er 0.026 0.026 0.052
Th 0.303 0.303 0.606

---

Record 5
Material: ErThIr
Method: DFT, GGA-PBE
State: optimized geometry

Results
* offset from the most stable computed form: 0 meV per atom

Lattice parameters (Å, degrees): 5.870 4.263 7.271 90.00 110.87 90.00
Sites, in units of the cell vectors:
Er 0.994 0.500 0.248
Th 0.510 0.000 0.759
Er 0.006 0.500 0.752
Th 0.490 0.000 0.241
Ir 0.500 0.500 0.500
Ir 0.000 0.000 0.000

---

Record 6
Material: ErTh3Ir8
Method: DFT, GGA-PBE
State: optimized geometry

Results
* energy: -8.9576 eV/atom

Lattice parameters (Å, degrees): 5.428 5.428 9.408 73.23 73.23 60.00
Sites, in units of the cell vectors:
Ir 0.436 0.436 0.189
Ir 0.436 0.938 0.189
Ir 0.938 0.439 0.686
Ir 0.938 0.436 0.189
Th 0.502 0.502 0.494
Th 0.376 0.376 0.872
Er 0.874 0.874 0.379
Th 0.998 0.998 0.006
Ir 0.188 0.188 0.436
Ir 0.688 0.688 0.937
Ir 0.439 0.938 0.686
Ir 0.938 0.938 0.686

---

Record 7
Material: ErTh2Ir
Method: DFT, GGA-PBE
State: optimized geometry

Results
* energy: -7.1560 eV/atom

Lattice parameters (Å, degrees): 3.874 3.874 10.526 79.39 79.39 60.00
Sites, in units of the cell vectors:
Er 0.000 0.000 0.000
Th 0.889 0.889 0.333
Ir 0.500 0.500 0.500
Th 0.111 0.111 0.667

---

Record 8
Material: ErThIr2
Method: DFT, GGA-PBE
State: optimized geometry

Results
* offset from the most stable computed form: 176 meV per atom

Lattice parameters (Å, degrees): 4.064 4.064 6.977 73.07 73.07 60.00
Sites, in units of the cell vectors:
Ir 0.252 0.252 0.245
Ir 0.748 0.748 0.755
Th 0.500 0.500 0.500
Er 0.000 0.000 0.000